{
  "formula": "YThAg4",
  "functional": "PBE-GGA",
  "state": "relaxed",
  "cell": [[5.3776, -0.0751, 0.0435], [0.0463, 4.6755, 2.6677], [-0.0429, -0.0135, 5.4557]],
  "species": ["Ag", "Ag", "Ag", "Ag", "Th", "Y"],
  "frac_coords": [[0.5013, 0.6775, 0.1442], [0.0013, 0.8312, 0.8366], [0.5013, 0.3264, 0.8465], [0.0013, 0.1724, 0.1543], [0.0013, 0.5018, 0.4955], [0.5013, 0.0019, 0.4954]],
  "dos_at_fermi_per_ev_cell": 3.5,
  "delta_e_f_kj_per_mol_atoms": -15.86
}

***

{
  "formula": "Rb2CrCdCl6",
  "functional": "PBE-GGA",
  "state": "relaxed",
  "cell": [[7.2817, 0.0000, -0.0002], [0.0000, 7.2815, -0.0003], [3.6407, 3.6407, 5.1518]],
  "species": ["Rb", "Rb", "Cl", "Cl", "Cl", "Cl", "Cl", "Cl", "Cd", "Cr"],
  "frac_coords": [[0.7501, 0.2501, 0.4998], [0.2499, 0.7499, 0.5001], [0.7593, 0.2403, 0.0000], [0.2407, 0.2407, 0.5185], [0.7598, 0.7594, 0.9999], [0.2407, 0.7597, 0.0000], [0.2402, 0.2406, 0.0001], [0.7593, 0.7593, 0.4815], [0.5000, 0.5000, 0.0000], [0.0000, 0.0000, 0.0000]],
  "dos_at_fermi_per_ev_cell": 1.7,
  "raw_formation_energy_kcal_per_mol_atoms": -32.34
}

***

{
  "formula": "PmGe3Os3",
  "functional": "PBE-GGA",
  "state": "relaxed",
  "cell": [[-2.2987, 1.9916, 2.3397], [-7.2427, -5.9581, -2.0440], [5.8487, -1.9058, 7.3685]],
  "species": ["Os", "Os", "Os", "Os", "Os", "Os", "Ge", "Ge", "Ge", "Ge", "Ge", "Ge", "Pm", "Pm"],
  "frac_coords": [[0.7500, 0.4369, 0.0352], [0.2500, 0.5631, 0.9648], [0.2500, 0.4017, 0.4369], [0.2500, 0.0352, 0.5983], [0.7500, 0.5983, 0.5631], [0.7500, 0.9648, 0.4017], [0.7500, 0.8874, 0.6424], [0.7500, 0.7550, 0.1126], [0.7500, 0.3576, 0.2450], [0.2500, 0.1126, 0.3576], [0.2500, 0.2450, 0.8874], [0.2500, 0.6424, 0.7550], [0.2500, 0.6667, 0.3333], [0.7500, 0.3333, 0.6667]],
  "dos_at_fermi_per_ev_cell": 9.5,
  "delta_e_f_kj_per_mol_atoms": 1.10
}

***

{
  "formula": "CeDy3Tm5",
  "functional": "PBE-GGA",
  "state": "relaxed",
  "cell": [[8.8973, 1.7587, 1.3873], [4.1272, 8.0760, 1.3873], [5.5342, 4.1788, 10.4927]],
  "species": ["Ce", "Ce", "Dy", "Dy", "Dy", "Dy", "Dy", "Dy", "Tm", "Tm", "Tm", "Tm", "Tm", "Tm", "Tm", "Tm", "Tm", "Tm"],
  "frac_coords": [[0.8960, 0.8960, 0.8690], [0.1040, 0.1040, 0.1310], [0.0000, 0.0000, 0.0000], [0.1668, 0.1668, 0.6568], [0.8332, 0.8332, 0.3432], [0.3072, 0.3072, 0.3105], [0.6928, 0.6928, 0.6895], [0.0000, 0.0000, 0.5000], [0.4888, 0.0790, 0.7817], [0.0790, 0.4888, 0.7817], [0.3678, 0.3678, 0.9323], [0.6322, 0.6322, 0.0677], [0.5560, 0.5560, 0.5679], [0.6789, 0.3211, 0.0000], [0.5112, 0.9210, 0.2183], [0.4440, 0.4440, 0.4321], [0.3211, 0.6789, 0.0000], [0.9210, 0.5112, 0.2183]],
  "dos_at_fermi_per_ev_cell": 34.7,
  "delta_e_f_kj_per_mol_atoms": 43.90
}

***

{
  "formula": "Te4Pd2Pt",
  "functional": "PBE-GGA",
  "state": "relaxed",
  "cell": [[5.3815, 0.0000, 0.0000], [0.0000, 5.3815, 0.0000], [2.6907, 2.6907, 6.5251]],
  "species": ["Te", "Te", "Te", "Te", "Pd", "Pd", "Pt"],
  "frac_coords": [[0.7953, 0.7953, 0.4093], [0.2047, 0.2047, 0.5907], [0.0000, 0.5000, 0.0000], [0.5000, 0.0000, 0.0000], [0.3997, 0.3997, 0.2006], [0.6003, 0.6003, 0.7994], [0.0000, 0.0000, 0.0000]],
  "dos_at_fermi_per_ev_cell": 7.8,
  "raw_formation_energy_kcal_per_mol_atoms": 4.10
}

***

{
  "formula": "BePPd6",
  "functional": "PBE-GGA",
  "state": "relaxed",
  "cell": [[5.4125, 0.0066, 0.0074], [2.7001, 4.6944, 0.0106], [2.6982, 1.5608, 4.7465]],
  "species": ["Be", "Pd", "Pd", "Pd", "Pd", "Pd", "Pd", "P"],
  "frac_coords": [[0.5000, 0.5000, 0.5000], [0.2535, 0.9452, 0.2553], [0.0547, 0.4539, 0.7448], [0.4537, 0.7465, 0.7448], [0.7465, 0.0548, 0.7447], [0.5463, 0.2535, 0.2552], [0.9453, 0.5461, 0.2552], [0.0000, 0.0000, 0.0000]],
  "dos_at_fermi_per_ev_cell": 3.2,
  "delta_e_f_kj_per_mol_atoms": -29.34
}

***

{
  "formula": "EuAl2",
  "functional": "PBE-GGA",
  "state": "relaxed",
  "cell": [[3.4060, 0.0000, 0.0000], [0.0000, 3.4060, 0.0000], [-1.7030, -1.7030, 5.9234]],
  "species": ["Al", "Al", "Eu"],
  "frac_coords": [[0.6901, 0.6901, 0.3802], [0.3099, 0.3099, 0.6198], [0.0000, 0.0000, 0.0000]],
  "dos_at_fermi_per_ev_cell": 2.0,
  "delta_e_f_kj_per_mol_atoms": -16.03
}

***

{
  "formula": "PtAuBr2",
  "functional": "PBE-GGA",
  "state": "relaxed",
  "cell": [[-1.7660, -2.5230, -2.5380], [-0.4957, 0.3384, 3.9453], [-6.1053, 5.5215, -1.2407]],
  "species": ["Br", "Br", "Pt", "Au"],
  "frac_coords": [[0.0000, 0.0000, 0.4694], [0.0000, 0.0000, 0.0306], [0.5000, 0.5000, 0.2500], [0.5000, 0.5000, 0.7500]],
  "dos_at_fermi_per_ev_cell": 1.3,
  "raw_formation_energy_kcal_per_mol_atoms": 8.10
}

***

no.,total DFT energy (no corrections) (eV/atom)
1,-4.38
2,-3.76
3,-7.46
4,-4.22
5,-3.96
6,-5.34
7,-6.09
8,-2.81